Below is Zn2Si3 after structural relaxation, with properties calculated at the GGA-PBE level.

Geometry as POSCAR:
```
Zn2Si3
1.0
3.7313 0.0000 0.0000
-1.8656 3.2314 0.0000
0.0000 0.0000 7.2797
Zn Si
2 3
Direct
0.3333 0.6667 0.3078
0.6667 0.3333 0.6922
0.0000 0.0000 0.5000
0.3333 0.6667 0.9288
0.6667 0.3333 0.0712
```

Properties
**Mass density**: 4.07 g/cm³
**Formation energy from raw total energies**: 0.320 eV/atom
**Volume**: 17.55 A^3/atom
**Crystal system**: trigonal
**Electronic total energy**: -3.44 eV/atom
**SG**: P-3m1, No. 164
**E above lowest polymorph**: 80 meV/atom

---

Below is GaAgAs3 after structural relaxation, with properties calculated at the GGA-PBE level.

Geometry as POSCAR:
```
GaAgAs3
1.0
5.0771 0.0000 0.0000
0.0000 5.0771 0.0000
0.0000 0.0000 5.0771
Ga Ag As
1 1 3
Direct
0.0000 0.0000 0.0000
0.5000 0.5000 0.5000
0.0000 0.5000 0.5000
0.5000 0.0000 0.5000
0.5000 0.5000 0.0000
```

Properties
**Formation energy from the elements**: 4.27 eV/f.u.
**Mass density**: 5.11 g/cm³
**Volume**: 26.17 A^3/atom
**Crystal system**: cubic
**Electronic total energy**: -3.11 eV/atom
**SG**: Pm-3m, No. 221
**E above lowest polymorph**: 76 meV/atom

---

Below is PmPuMgIr after structural relaxation, with properties calculated at the GGA-PBE level.

Geometry as POSCAR:
```
PmPuMgIr
1.0
0.0000 3.5903 3.5903
3.5903 0.0000 3.5903
3.5903 3.5903 0.0000
Pm Pu Mg Ir
1 1 1 1
Direct
0.0000 0.0000 0.0000
0.5000 0.5000 0.5000
0.7500 0.7500 0.7500
0.2500 0.2500 0.2500
```

Properties
**Formation energy from the elements**: -0.77 eV/f.u.
**Mass density**: 10.86 g/cm³
**Volume**: 23.14 A^3/atom
**Crystal system**: cubic
**Electronic total energy**: -7.58 eV/atom
**SG**: F-43m, No. 216